1.
A geometry-optimized LaPmReN4 structure, computed with GGA-PBE.

Unit cell a=3.9208 b=3.9208 c=6.8970 alpha=106.51 beta=106.51 gamma=90.00
With the nearest neighbours (Å) after each atom.
Atoms (fractional coordinates):
N (0.8350, 0.8350, 0.6700)  1 Re 2.08
Pm (0.3548, 0.3548, 0.7095)  1 N 2.38
La (0.6467, 0.6467, 0.2934)  1 N 2.38
N (0.4986, 0.9986, 0.9972)  2 Re 1.96
Re (0.9998, 0.9998, 0.9995)  6 N 1.96-2.11
N (0.1666, 0.1666, 0.3332)  1 Re 2.11
N (0.9986, 0.4986, 0.9972)  2 Re 1.96

=====

2.
A geometry-optimized LaPm2RhN4 structure, computed with GGA-PBE.

Unit cell a=3.5229 b=6.2904 c=11.8705 alpha=90.00 beta=90.00 gamma=106.26
With the nearest neighbours (Å) after each atom.
Atoms (fractional coordinates):
Pm (0.3696, 0.7393, 0.5457)  6 N 2.40-2.67
Pm (0.6304, 0.2607, 0.0457)  6 N 2.40-2.67
N (0.7265, 0.4529, 0.6313)  1 Rh 2.03
La (0.8902, 0.7804, 0.2500)  6 N 2.66-2.67
Pm (0.3696, 0.7393, 0.9543)  6 N 2.40-2.67
N (0.7265, 0.4529, 0.8687)  1 Rh 2.03
N (0.0000, 0.0000, 0.5000)  4 Pm 2.42
N (0.2735, 0.5471, 0.1313)  1 Rh 2.03
N (0.5561, 0.1123, 0.2500)  2 Rh 2.11
Rh (0.1523, 0.3046, 0.2500)  4 N 2.03-2.11
La (0.1098, 0.2196, 0.7500)  6 N 2.66-2.67
N (0.4439, 0.8877, 0.7500)  2 Rh 2.11
Pm (0.6304, 0.2607, 0.4543)  6 N 2.40-2.67
N (0.2735, 0.5471, 0.3687)  1 Rh 2.03
N (0.0000, 0.0000, 0.0000)  4 Pm 2.42
Rh (0.8477, 0.6954, 0.7500)  4 N 2.03-2.11

=====

3.
A geometry-optimized LaPm2RuN4 structure, computed with GGA-PBE.

Unit cell a=3.5230 b=6.2657 c=12.0046 alpha=90.00 beta=90.00 gamma=106.33
With the nearest neighbours (Å) after each atom.
Atoms (fractional coordinates):
N (0.4299, 0.8599, 0.7500)  2 Ru 2.01
N (0.0000, 0.0000, 0.5000)  4 Pm 2.42
N (0.5701, 0.1401, 0.2500)  2 Ru 2.01
La (0.8832, 0.7664, 0.2500)  6 N 2.63-2.86
Pm (0.3685, 0.7369, 0.5430)  6 N 2.41-2.65
Pm (0.6315, 0.2631, 0.0430)  6 N 2.41-2.65
Ru (0.1499, 0.2998, 0.2500)  4 N 2.01-2.02
La (0.1168, 0.2336, 0.7500)  6 N 2.63-2.86
N (0.0000, 0.0000, 0.0000)  4 Pm 2.42
Pm (0.3685, 0.7369, 0.9570)  6 N 2.41-2.65
N (0.7296, 0.4591, 0.6324)  1 Ru 2.02
Ru (0.8501, 0.7002, 0.7500)  4 N 2.01-2.02
N (0.2704, 0.5409, 0.1324)  1 Ru 2.02
Pm (0.6315, 0.2631, 0.4570)  6 N 2.41-2.65
N (0.2704, 0.5409, 0.3676)  1 Ru 2.02
N (0.7296, 0.4591, 0.8676)  1 Ru 2.02

=====

4.
A geometry-optimized LaPmSN structure, computed with GGA-PBE.

Unit cell a=3.8107 b=3.8107 c=6.9618 alpha=74.12 beta=74.12 gamma=60.00
With the nearest neighbours (Å) after each atom.
Atoms (fractional coordinates):
Pm (0.2626, 0.2626, 0.2122)  3 N 2.58, 3 S 2.87
La (0.7373, 0.7373, 0.7880)  3 N 2.64, 3 S 2.95
S (0.5028, 0.5028, 0.4915)  3 Pm 2.87, 3 La 2.95
N (0.9973, 0.9973, 0.0082)  3 Pm 2.58, 3 La 2.64

=====

5.
A geometry-optimized LaPm2SbN4 structure, computed with GGA-PBE.

Unit cell a=3.7564 b=6.3105 c=12.2554 alpha=90.00 beta=90.00 gamma=107.32
With the nearest neighbours (Å) after each atom.
Atoms (fractional coordinates):
La (0.8949, 0.7897, 0.2500)  6 N 2.78-2.81
Sb (0.1554, 0.3109, 0.2500)  4 N 2.08-2.15
Sb (0.8446, 0.6891, 0.7500)  4 N 2.08-2.15
La (0.1051, 0.2103, 0.7500)  6 N 2.78-2.81
N (0.4315, 0.8629, 0.7500)  2 Sb 2.15
N (0.2770, 0.5541, 0.1299)  1 Sb 2.08
N (0.7230, 0.4459, 0.8701)  1 Sb 2.08
N (0.0000, 0.0000, 0.0000)  4 Pm 2.48
N (0.2770, 0.5541, 0.3701)  1 Sb 2.08
N (0.5685, 0.1371, 0.2500)  2 Sb 2.15
N (0.7230, 0.4459, 0.6299)  1 Sb 2.08
Pm (0.3714, 0.7428, 0.9619)  3 N 2.35-2.48
Pm (0.3714, 0.7428, 0.5381)  3 N 2.35-2.48
N (0.0000, 0.0000, 0.5000)  4 Pm 2.48
Pm (0.6286, 0.2572, 0.4619)  3 N 2.35-2.48
Pm (0.6286, 0.2572, 0.0381)  3 N 2.35-2.48

=====

6.
A geometry-optimized La4Pm2Sb3N2 structure, computed with GGA-PBE.

Unit cell a=4.8517 b=4.8517 c=13.6980 alpha=100.20 beta=100.20 gamma=90.00
With the nearest neighbours (Å) after each atom.
Atoms (fractional coordinates):
N (0.3917, 0.3917, 0.7834)  1 Pm 2.29, 4 La 2.51
La (0.0843, 0.5843, 0.1686)  2 N 2.51
N (0.6083, 0.6083, 0.2166)  1 Pm 2.29, 4 La 2.51
La (0.5843, 0.0843, 0.1686)  2 N 2.51
Sb (0.8193, 0.8193, 0.6386)  5 Pm 3.30-3.45, 4 La 3.52
Pm (0.6947, 0.6947, 0.3894)  1 N 2.29
Sb (0.0000, 0.0000, 0.0000)  8 La 3.30
La (0.9157, 0.4157, 0.8314)  2 N 2.51
Sb (0.1807, 0.1807, 0.3614)  5 Pm 3.30-3.45, 4 La 3.52
Pm (0.3053, 0.3053, 0.6106)  1 N 2.29
La (0.4157, 0.9157, 0.8314)  2 N 2.51

=====

| no. | M_tot (μB per formula unit) | formation energy without anion corrections (eV/atom) |
| --- | --- | --- |
| 1 | 0.000 | -0.924 |
| 2 | 0.000 | -0.867 |
| 3 | 0.000 | -0.912 |
| 4 | 0.000 | -1.761 |
| 5 | 0.000 | -0.701 |
| 6 | 0.000 | -1.183 |